Record 1
Material: Cs3Co5Cl12
Method: DFT, GGA-PBE
State: optimized geometry

## Properties
E_form (uncorrected), eV per atom: -0.90

The structure in extended XYZ format:
```
80
Lattice="14.1644 0.0000 0.0000 -4.7215 13.3544 0.0000 -4.7215 -6.6772 11.5652" Properties=species:S:1:pos:R:3 pbc="T T T"
Cs 8.2626 4.1732 1.4457
Cs 8.2626 9.1811 1.4457
Cs -1.1804 5.8425 7.2283
Cs 1.1804 -0.8346 4.3370
Cs 10.6233 0.0000 2.8913
Cs 1.1804 6.6772 2.8913
Cs 3.5411 0.0000 8.6739
Cs -5.9018 6.6772 8.6739
Cs 3.5411 7.5118 7.2283
Cs 5.9018 0.8346 4.3370
Cs -3.5411 -2.5039 10.1196
Cs -3.5411 2.5039 10.1196
Co -1.1804 3.3386 2.8913
Co -2.3607 6.6772 0.0000
Co 0.0000 0.0000 0.0000
Co 3.5411 2.5039 1.4457
Co 4.7215 -3.3386 5.7826
Co 4.7215 6.6772 0.0000
Co -3.5411 7.5118 4.3370
Co 5.9018 -4.1732 10.1196
Co 5.9018 5.8425 4.3370
Co 1.1804 -3.3386 8.6739
Co 3.5411 10.0158 2.8913
Co 2.3607 3.3386 5.7826
Co 7.0822 0.0000 0.0000
Co -2.3607 -3.3386 5.7826
Co -1.1804 0.8346 7.2283
Co -1.1804 10.8504 1.4457
Co -4.7215 3.3386 5.7826
Co 8.2626 -0.8346 7.2283
Co 1.1804 4.1732 10.1196
Co 5.9018 3.3386 8.6739
Cl 4.5377 -5.3572 11.5556
Cl 0.1838 3.9903 4.6346
Cl -3.3657 3.2676 3.6289
Cl 5.7265 1.8297 1.1384
Cl 1.8419 4.5765 7.9460
Cl -3.7008 6.7537 2.1634
Cl -1.3558 8.1151 4.7672
Cl -3.3657 11.5247 1.1384
Cl 5.2404 -4.5765 7.9460
Cl 6.0615 6.6006 2.1634
Cl 7.2660 4.0069 4.6443
Cl 2.5445 5.3572 11.5556
Cl -4.2026 5.8310 5.7730
Cl 3.3814 4.7654 1.0154
Cl -4.9053 9.3474 4.6443
Cl 2.5445 -2.6869 6.9306
Cl -0.5189 1.2546 2.1537
Cl 3.3814 8.5124 1.1480
Cl 5.7264 10.0868 3.6289
Cl -1.0207 4.8419 1.1480
Cl 1.8419 -5.4226 9.4115
Cl 3.7165 5.2393 4.7672
Cl 6.5633 7.5233 5.7730
Cl 5.7422 -1.9118 10.5498
Cl 1.0050 1.4379 6.7980
Cl -1.8419 -0.8461 5.7922
Cl -1.0207 8.5890 1.0154
Cl -1.0050 -3.4096 7.9363
Cl 2.8796 12.0998 2.1537
Cl 5.7422 1.8352 10.4172
Cl 1.3401 -1.8352 10.4172
Cl 2.1770 9.3641 4.6346
Cl 5.2404 5.4226 9.4115
Cl 9.6267 -2.6702 6.9210
Cl 8.9241 0.8461 5.7922
Cl 2.1770 1.3200 0.0096
Cl 1.3401 1.9118 10.5498
Cl -0.5189 11.2537 3.6193
Cl -1.3401 0.0766 9.4019
Cl -2.5445 2.6703 6.9210
Cl 8.0872 -4.8475 10.4269
Cl 6.0773 -1.4379 6.7980
Cl -1.0050 4.8475 10.4269
Cl 8.4223 -0.0766 9.4019
Cl 2.8796 2.1007 3.6193
Cl 8.0872 3.4096 7.9363
Cl 4.5377 2.6869 6.9306
Cl 0.1838 12.0343 0.0096
```

=====

Record 2
Material: PrNdNpN3
Method: DFT, GGA-PBE
State: optimized geometry

## Properties
E_form (uncorrected), eV per atom: -0.95

The structure in extended XYZ format:
```
12
Lattice="3.6944 0.0000 0.0000 0.0000 7.4418 0.9190 0.0000 -1.9878 8.3584" Properties=species:S:1:pos:R:3 pbc="T T T"
Pr 2.7708 4.5281 8.0171
Pr 0.9236 0.9259 1.2602
Nd 0.9236 4.2978 1.9129
Nd 2.7708 1.1562 7.3645
Np 0.9236 -0.7389 4.9660
Np 2.7708 6.1929 4.3113
N 0.9236 5.0209 4.2818
N 2.7708 6.3893 2.1384
N 2.7708 2.6325 1.3604
N 2.7708 0.4331 4.9956
N 0.9236 2.8215 7.9170
N 0.9236 -0.9353 7.1390
```

=====

Record 3
Material: ZrNiSn
Method: DFT, GGA-PBE
State: optimized geometry

The structure in extended XYZ format:
```
18
Lattice="4.3612 0.0000 0.0000 -2.1806 3.7769 0.0000 0.0000 0.0000 20.8759" Properties=species:S:1:pos:R:3 pbc="T T T"
Ni 0.0000 0.0000 20.1262
Ni 0.0000 2.5180 13.1676
Ni 2.1806 1.2590 6.2089
Ni 0.0000 0.0000 2.5988
Ni 0.0000 2.5180 16.5161
Ni 2.1806 1.2590 9.5574
Sn 0.0000 0.0000 17.3342
Sn 0.0000 2.5180 10.3756
Sn 2.1806 1.2590 3.4169
Sn 0.0000 0.0000 13.8288
Sn 0.0000 2.5180 6.8702
Sn 2.1806 1.2590 20.7875
Zr 0.0000 0.0000 8.5523
Zr 0.0000 2.5180 1.5937
Zr 2.1806 1.2590 15.5109
Zr 0.0000 0.0000 5.1263
Zr 0.0000 2.5180 19.0436
Zr 2.1806 1.2590 12.0849
```

=====

Record 4
Material: ThMnBeSi2
Method: DFT, GGA-PBE
State: optimized geometry

## Properties
E_form (uncorrected), eV per atom: -0.48

The structure in extended XYZ format:
```
5
Lattice="3.9672 0.0000 0.0000 0.0000 3.9672 0.0000 -1.9836 -1.9836 5.1704" Properties=species:S:1:pos:R:3 pbc="T T T"
Th 0.0000 0.0000 0.0000
Mn 1.9836 0.0000 2.5852
Be 0.0000 1.9836 2.5852
Si 1.9836 1.9836 1.2730
Si 0.0000 0.0000 3.8974
```

=====

Record 5
Material: YTm3Tc
Method: DFT, GGA-PBE
State: optimized geometry

## Properties
Energy relative to the lowest polymorph listed for this composition, meV per atom: 150.8

The structure in extended XYZ format:
```
5
Lattice="-2.7742 2.4757 3.8057 3.3433 -1.9035 3.6753 3.0717 4.3077 -0.5631" Properties=species:S:1:pos:R:3 pbc="T T T"
Y 1.8204 2.4399 3.4589
Tm 1.6716 -0.9517 1.8377
Tm 1.5358 2.1538 -0.2816
Tm -1.3871 1.2378 1.9029
Tc 0.0000 0.0000 0.0000
```

=====

Record 6
Material: SmGa2Co3
Method: DFT, GGA-PBE
State: optimized geometry

The structure in extended XYZ format:
```
18
Lattice="-6.6689 5.7968 2.0831 -1.7685 -8.8725 -0.7538 0.7550 -0.4660 3.7139" Properties=species:S:1:pos:R:3 pbc="T T T"
Sm 0.0000 0.0000 0.0000
Sm -3.0245 -4.2157 2.0488
Sm -4.6579 0.6741 2.9944
Ga -2.3028 -1.2100 2.2792
Ga -4.1729 3.7224 3.2783
Ga -0.8292 -6.2870 1.3426
Ga -5.3796 -2.3316 2.7640
Ga -1.7410 1.6084 2.5187
Ga -0.1843 -3.0515 1.6175
Co -4.2187 -1.5378 0.6647
Co -3.3344 2.8984 1.0416
Co -0.8843 -4.4362 -0.3769
Co -2.6612 -6.2001 -0.2370
Co -1.8593 -2.1766 0.1049
Co -5.6855 -3.5714 0.7077
Co -5.7762 3.1245 1.5663
Co -2.7520 0.4957 0.6217
Co -6.5782 -0.8990 1.2245
```

=====

Record 7
Material: Ac3InGe4
Method: DFT, GGA-PBE
State: optimized geometry

The structure in extended XYZ format:
```
8
Lattice="-3.6975 2.9703 0.4881 -1.3036 -2.5394 5.5780 7.3868 5.2692 0.6058" Properties=species:S:1:pos:R:3 pbc="T T T"
Ac 1.8292 2.0532 1.3622
Ac 0.5566 3.6469 5.3097
Ac -0.6518 -1.2697 2.7890
In -1.8487 1.4851 0.2441
Ge 3.3859 3.5879 3.8152
Ge -1.0001 2.1122 2.8567
Ge -1.5152 1.1089 5.0605
Ge 3.9009 4.5912 1.6114
```

=====

Record 8
Material: ErNbSe2
Method: DFT, GGA-PBE
State: optimized geometry

## Properties
E_form (uncorrected), eV per atom: -0.67

The structure in extended XYZ format:
```
4
Lattice="3.5229 0.0000 0.0000 1.7615 3.0509 0.0000 1.7615 1.0170 9.0261" Properties=species:S:1:pos:R:3 pbc="T T T"
Nb 3.5229 2.0340 4.5130
Se 1.7615 1.0170 6.2077
Se 5.2844 3.0509 2.8184
Er 0.0000 0.0000 0.0000
```

=====

E: -0.287; -0.651; -0.486; -0.493; -0.436; -0.419; -0.349; -0.446 (Ry per atom)